Compound: LiPrPa2Pt4
Source: Alexandria via LeMat-Bulk
Functional: PBE
Structure: relaxed

Unit cell a=4.8178 b=4.8178 c=25.9603 alpha=90.00 beta=90.00 gamma=120.00
Space group R-3m (No. 166, hexagonal axes)
Unique sites:
Li  0.0000  0.0000  0.0000 x3
Pr  0.0000  0.0000  0.5000 x3
Pa  0.0000  0.0000  0.2673 x6
Pt  0.0000  0.0000  0.1026 x6
Pt  0.0000  0.0000  0.3804 x6

Values from the calculation:
Formation enthalpy at 0 K: -851 meV per atom
Crystal system: trigonal

Compound: LiPrPaS4
Source: Alexandria via LeMat-Bulk
Functional: PBE
Structure: relaxed

Unit cell a=8.0525 b=8.2086 c=11.5606 alpha=90.00 beta=90.00 gamma=90.00
Space group Imma (No. 74)
Unique sites:
Li  0.0000  0.2500  0.1151 x4
Pr  0.0000  0.0000  0.5000 x4
Pa  0.2500  0.2500  0.7500 x4
S  0.0000  0.0224  0.7480 x8
S  0.2462  0.2500  0.5162 x8

Values from the calculation:
Crystal system: orthorhombic
E_form (uncorrected): -1672 meV/atom

Compound: LiPr2PaS5
Source: Alexandria via LeMat-Bulk
Functional: PBE
Structure: relaxed

Unit cell a=3.9580 b=16.6680 c=12.1109 alpha=90.00 beta=90.00 gamma=90.00
Space group Cmc2_1 (No. 36)
Unique sites:
Li  0.0000  0.0151  0.0000 x4
Pr  0.0000  0.3727  0.8273 x4
Pr  0.0000  0.3906  0.2176 x4
Pa  0.0000  0.3006  0.5337 x4
S  0.0000  0.0022  0.3078 x4
S  0.0000  0.1370  0.5289 x4
S  0.0000  0.1892  0.8765 x4
S  0.0000  0.2114  0.1911 x4
S  0.0000  0.4514  0.5917 x4

Values from the calculation:
Crystal system: orthorhombic
E_form (uncorrected): -1766 meV/atom

Compound: Li3Pr3PaSe8
Source: Alexandria via LeMat-Bulk
Functional: PBE
Structure: relaxed

Unit cell a=8.4906 b=8.4906 c=19.4877 alpha=90.00 beta=90.00 gamma=120.00
Space group R-3m (No. 166, hexagonal axes)
Unique sites:
Li  0.0000  0.5000  0.0000 x9
Pr  0.0000  0.5000  0.5000 x9
Pa  0.0000  0.0000  0.5000 x3
Se  0.0000  0.0000  0.2540 x6
Se  0.0151  0.5075  0.2506 x18

Values from the calculation:
Crystal system: trigonal
E_form (uncorrected): -1587 meV/atom

Compound: LiPr2PaSe4
Source: Alexandria via LeMat-Bulk
Functional: PBE
Structure: relaxed

Unit cell a=7.1650 b=4.1209 c=7.2243 alpha=90.00 beta=109.00 gamma=90.00
Space group P2/m (No. 10)
Unique sites:
Li  0.0000  0.0000  0.0000 x1
Pr  0.5000  0.0000  0.5000 x1
Pr  0.5000  0.5000  0.0000 x1
Pa  0.0000  0.5000  0.5000 x1
Se  0.2281  0.5000  0.2393 x2
Se  0.2311  0.0000  0.7516 x2

Values from the calculation:
Crystal system: monoclinic
E_form (uncorrected): -1582 meV/atom

Compound: LiPrPa2Se4
Source: Alexandria via LeMat-Bulk
Functional: PBE
Structure: relaxed

Unit cell a=6.9300 b=4.0107 c=7.4204 alpha=90.00 beta=108.17 gamma=90.00
Space group P2/m (No. 10)
Unique sites:
Li  0.0000  0.0000  0.0000 x1
Pr  0.5000  0.5000  0.0000 x1
Pa  0.0000  0.5000  0.5000 x1
Pa  0.5000  0.0000  0.5000 x1
Se  0.2352  0.0000  0.7508 x2
Se  0.2354  0.5000  0.2434 x2

Values from the calculation:
Crystal system: monoclinic
E_form (uncorrected): -1378 meV/atom

Compound: Li2PrPaSe4
Source: Alexandria via LeMat-Bulk
Functional: PBE
Structure: relaxed

Unit cell a=7.0095 b=4.0931 c=7.1762 alpha=90.00 beta=109.74 gamma=90.00
Space group P2/m (No. 10)
Unique sites:
Li  0.0000  0.0000  0.0000 x1
Li  0.0000  0.5000  0.5000 x1
Pr  0.5000  0.0000  0.5000 x1
Pa  0.5000  0.5000  0.0000 x1
Se  0.2358  0.5000  0.2334 x2
Se  0.2376  0.0000  0.7538 x2

Values from the calculation:
Crystal system: monoclinic
E_form (uncorrected): -1446 meV/atom

Compound: LiPr2PaSe5
Source: Alexandria via LeMat-Bulk
Functional: PBE
Structure: relaxed

Unit cell a=4.1245 b=17.4368 c=12.6583 alpha=90.00 beta=90.00 gamma=90.00
Space group Cmc2_1 (No. 36)
Unique sites:
Li  0.0000  0.0199  0.0000 x4
Pr  0.0000  0.3721  0.8284 x4
Pr  0.0000  0.3915  0.2181 x4
Pa  0.0000  0.2996  0.5358 x4
Se  0.0000  0.0024  0.3088 x4
Se  0.0000  0.1353  0.5297 x4
Se  0.0000  0.1887  0.8770 x4
Se  0.0000  0.2136  0.1946 x4
Se  0.0000  0.4509  0.5962 x4

Values from the calculation:
Crystal system: orthorhombic
E_form (uncorrected): -1580 meV/atom

These records have magnetic moment values of 0.0, 1.0, 1.1, 0.9, 0.9, 2.4, 1.8, 1.3 μB per formula unit, in the order they appear.